# 1
## SrFe3Co (PBE)

Data for SrFe3Co after structural relaxation.

a b c (Å): 4.6343 4.6343 4.6343
angles (deg): 90.00 90.00 90.00
Last column: nearest neighbours and their distance in Å.
Element x y z (fractional)
Fe 0.5000 0.0000 0.0000  2 Sr 2.32
Fe 0.0000 0.0000 0.5000  2 Sr 2.32
Fe 0.0000 0.5000 0.0000  2 Sr 2.32
Sr 0.0000 0.0000 0.0000  6 Fe 2.32
Co 0.5000 0.5000 0.5000  12 Fe 3.28

## Properties
For the energy above the lowest structure with this stoichiometry, the calculation gives 194.07 kJ/mol of atoms. The calculation puts the volume at 19.91 Å³/atom. Its density of states at the Fermi level is 2.900 states/eV/atom. For the energy relative to the elements, the calculation gives 2664 meV/atom.

***

# 2
## Pm3HgSeCl (PBE)

Data for Pm3HgSeCl after structural relaxation.

a b c (Å): 4.1792 7.8944 11.2660
angles (deg): 112.81 90.00 90.00
Last column: nearest neighbours and their distance in Å.
Element x y z (fractional)
Hg 0.7500 0.7032 0.7120  7 Pm 3.16-3.27
Pm 0.2500 0.5137 0.8334  3 Se 2.90-2.94, 1 Cl 2.98, 2 Hg 3.17
Pm 0.2500 0.7173 0.5055  3 Cl 2.93-3.12, 3 Hg 3.16-3.27
Pm 0.7500 0.2827 0.4945  3 Cl 2.93-3.12, 3 Hg 3.16-3.27
Cl 0.7500 0.8536 0.3831  5 Pm 2.93-3.24
Se 0.7500 0.2934 0.8893  5 Pm 2.90-2.94
Se 0.2500 0.7066 0.1107  5 Pm 2.90-2.94
Pm 0.7500 0.4863 0.1666  3 Se 2.90-2.94, 1 Cl 2.98, 2 Hg 3.17
Pm 0.2500 0.0248 0.8603  2 Se 2.90, 2 Hg 3.21, 1 Cl 3.24
Hg 0.2500 0.2968 0.2880  7 Pm 3.16-3.27
Pm 0.7500 0.9752 0.1397  2 Se 2.90, 2 Hg 3.21, 1 Cl 3.24
Cl 0.2500 0.1464 0.6169  5 Pm 2.93-3.24

## Properties
As for the formation energy from raw total energies: -1186 meV per atom. The calculation puts the volume at 28.55 Å³/atom. Its density of states at the Fermi level is 0.683 states/eV/atom.

***

| no. | electronic total energy (eV per atom) |
| --- | --- |
| 1 | -4.17 |
| 2 | -4.50 |